(P)
Material: PPdCl2O
Method: DFT, PBE-GGA
State: optimized geometry

Properties
D(E_F) in states/eV/atom: 0.7826
Symmetry: P4/mmm

Cell lengths 4.9097, 4.9097, 4.6036 Å; angles 90.00, 90.00, 90.00 degrees
With the nearest neighbours (Å) after each atom.
Atoms (fractional coordinates):
P (0.0000, 0.0000, 0.0000)  2 Pd 2.30
Pd (0.0000, 0.0000, 0.5000)  2 P 2.30, 4 Cl 2.45
Cl (0.0000, 0.5000, 0.5000)  2 Pd 2.45
Cl (0.5000, 0.0000, 0.5000)  2 Pd 2.45
O (0.5000, 0.5000, 0.0000)  8 Cl 3.37, 4 P 3.47

(Q)
Material: PPdCl2O
Method: DFT, PBE-GGA
State: optimized geometry

Properties
D(E_F) in states/eV/atom: 1.2341
Symmetry: P4/mmm

Cell lengths 5.4991, 5.4991, 3.2963 Å; angles 90.00, 90.00, 90.00 degrees
With the nearest neighbours (Å) after each atom.
Atoms (fractional coordinates):
P (0.0000, 0.0000, 0.0000)  2 O 1.65
Pd (0.5000, 0.5000, 0.0000)  8 Cl 3.21, 2 Pd 3.30
Cl (0.0000, 0.5000, 0.5000)  2 O 2.75
Cl (0.5000, 0.0000, 0.5000)  2 O 2.75
O (0.0000, 0.0000, 0.5000)  2 P 1.65

Which is most stable, and by how much? (Q), by 311 meV per atom.

(P)
Material: PPtCl2O
Method: DFT, PBE-GGA
State: optimized geometry

Properties
D(E_F) in states/eV/atom: 0.7262
Symmetry: P4/mmm

Cell lengths 4.4597, 4.4597, 4.0865 Å; angles 90.00, 90.00, 90.00 degrees
With the nearest neighbours (Å) after each atom.
Atoms (fractional coordinates):
P (0.0000, 0.0000, 0.0000)  2 O 2.04
Pt (0.5000, 0.5000, 0.0000)  8 Cl 3.02, 4 P 3.15
Cl (0.0000, 0.5000, 0.5000)  2 O 2.23
Cl (0.5000, 0.0000, 0.5000)  2 O 2.23
O (0.0000, 0.0000, 0.5000)  2 P 2.04, 4 Cl 2.23

(Q)
Material: PPtCl2O
Method: DFT, PBE-GGA
State: optimized geometry

Properties
D(E_F) in states/eV/atom: 1.1915
Symmetry: P4/mmm

Cell lengths 5.0233, 5.0233, 4.4904 Å; angles 90.00, 90.00, 90.00 degrees
With the nearest neighbours (Å) after each atom.
Atoms (fractional coordinates):
P (0.0000, 0.0000, 0.0000)  2 Pt 2.25
Pt (0.0000, 0.0000, 0.5000)  2 P 2.25, 4 Cl 2.51
Cl (0.0000, 0.5000, 0.5000)  2 Pt 2.51
Cl (0.5000, 0.0000, 0.5000)  2 Pt 2.51
O (0.5000, 0.5000, 0.0000)  8 Cl 3.37, 4 P 3.55

Which is most stable, and by how much? (Q), by 279 meV per atom.

(P)
Material: RbP2ClO
Method: DFT, PBE-GGA
State: optimized geometry

Properties
D(E_F) in states/eV/atom: 2.7993
Symmetry: P4/mmm

Cell lengths 7.7125, 7.7125, 6.0456 Å; angles 90.00, 90.00, 90.00 degrees
With the nearest neighbours (Å) after each atom.
Atoms (fractional coordinates):
Rb (0.0000, 0.0000, 0.0000)  2 Cl 3.02
P (0.0000, 0.5000, 0.0000)  2 Rb 3.86
P (0.5000, 0.0000, 0.0000)  2 Rb 3.86
Cl (0.0000, 0.0000, 0.5000)  2 Rb 3.02
O (0.5000, 0.5000, 0.5000)  8 P 4.90, 4 Cl 5.45

(Q)
Material: RbP2ClO
Method: DFT, PBE-GGA
State: optimized geometry

Properties
D(E_F) in states/eV/atom: 1.4657
Symmetry: P4/mmm

Cell lengths 4.6684, 4.6684, 6.0355 Å; angles 90.00, 90.00, 90.00 degrees
With the nearest neighbours (Å) after each atom.
Atoms (fractional coordinates):
Rb (0.0000, 0.0000, 0.0000)  4 O 3.30
P (0.0000, 0.5000, 0.5000)  2 Cl 2.33
P (0.5000, 0.0000, 0.5000)  2 Cl 2.33
Cl (0.5000, 0.5000, 0.5000)  4 P 2.33
O (0.5000, 0.5000, 0.0000)  2 Cl 3.02, 4 Rb 3.30

(R)
Material: RbP2ClO
Method: DFT, PBE-GGA
State: optimized geometry

Properties
D(E_F) in states/eV/atom: 0.7813
Symmetry: P4/mmm

Cell lengths 4.1070, 4.1070, 7.7856 Å; angles 90.00, 90.00, 90.00 degrees
With the nearest neighbours (Å) after each atom.
Atoms (fractional coordinates):
Rb (0.0000, 0.0000, 0.0000)  4 Cl 2.90
P (0.0000, 0.5000, 0.5000)  2 O 2.05
P (0.5000, 0.0000, 0.5000)  2 O 2.05
Cl (0.5000, 0.5000, 0.0000)  4 Rb 2.90
O (0.5000, 0.5000, 0.5000)  4 P 2.05

Which is most stable, and by how much? (R), by 973 meV per atom.

(P)
Material: SiP2ClO
Method: DFT, PBE-GGA
State: optimized geometry

Properties
D(E_F) in states/eV/atom: 0.5006
Symmetry: P4/mmm

Cell lengths 4.8810, 4.8810, 3.2914 Å; angles 90.00, 90.00, 90.00 degrees
With the nearest neighbours (Å) after each atom.
Atoms (fractional coordinates):
Si (0.0000, 0.0000, 0.0000)  2 O 1.65
P (0.0000, 0.5000, 0.0000)  2 Si 2.44
P (0.5000, 0.0000, 0.0000)  2 Si 2.44
Cl (0.5000, 0.5000, 0.5000)  8 P 2.94, 2 Cl 3.29
O (0.0000, 0.0000, 0.5000)  2 Si 1.65

(Q)
Material: SiP2ClO
Method: DFT, PBE-GGA
State: optimized geometry

Properties
D(E_F) in states/eV/atom: 0.3369
Symmetry: P4/mmm

Cell lengths 3.8671, 3.8671, 5.8064 Å; angles 90.00, 90.00, 90.00 degrees
With the nearest neighbours (Å) after each atom.
Atoms (fractional coordinates):
Si (0.0000, 0.0000, 0.0000)  4 Cl 2.73
P (0.0000, 0.5000, 0.5000)  2 O 1.93
P (0.5000, 0.0000, 0.5000)  2 O 1.93
Cl (0.5000, 0.5000, 0.0000)  4 Si 2.73, 2 O 2.90
O (0.5000, 0.5000, 0.5000)  4 P 1.93

(R)
Material: SiP2ClO
Method: DFT, PBE-GGA
State: optimized geometry

Properties
D(E_F) in states/eV/atom: 0.6745
Symmetry: P4/mmm

Cell lengths 4.5372, 4.5372, 4.4292 Å; angles 90.00, 90.00, 90.00 degrees
With the nearest neighbours (Å) after each atom.
Atoms (fractional coordinates):
Si (0.0000, 0.0000, 0.0000)  2 Cl 2.21, 4 P 2.27
P (0.0000, 0.5000, 0.0000)  2 Si 2.27
P (0.5000, 0.0000, 0.0000)  2 Si 2.27
Cl (0.0000, 0.0000, 0.5000)  2 Si 2.21
O (0.5000, 0.5000, 0.5000)  8 P 3.17, 4 Cl 3.21

Which is most stable, and by how much? (P), by 445 meV per atom.

(P)
Material: SiPCl2O
Method: DFT, PBE-GGA
State: optimized geometry

Properties
D(E_F) in states/eV/atom: 0.4884
Symmetry: P4/mmm

Cell lengths 4.4906, 4.4906, 4.2234 Å; angles 90.00, 90.00, 90.00 degrees
With the nearest neighbours (Å) after each atom.
Atoms (fractional coordinates):
Si (0.0000, 0.0000, 0.0000)  8 Cl 3.08, 4 P 3.18
P (0.5000, 0.5000, 0.0000)  2 O 2.11
Cl (0.0000, 0.5000, 0.5000)  2 O 2.25
Cl (0.5000, 0.0000, 0.5000)  2 O 2.25
O (0.5000, 0.5000, 0.5000)  2 P 2.11, 4 Cl 2.25

(Q)
Material: SiPCl2O
Method: DFT, PBE-GGA
State: optimized geometry

Properties
D(E_F) in states/eV/atom: 0.7504
Symmetry: P4/mmm

Cell lengths 4.6113, 4.6113, 4.7182 Å; angles 90.00, 90.00, 90.00 degrees
With the nearest neighbours (Å) after each atom.
Atoms (fractional coordinates):
Si (0.0000, 0.0000, 0.0000)  4 Cl 2.31, 2 P 2.36
P (0.0000, 0.0000, 0.5000)  2 Si 2.36
Cl (0.0000, 0.5000, 0.0000)  2 Si 2.31
Cl (0.5000, 0.0000, 0.0000)  2 Si 2.31
O (0.5000, 0.5000, 0.5000)  4 P 3.26, 8 Cl 3.30

Which is most stable, and by how much? (Q), by 112 meV per atom.

(P)
Material: SnP2ClO
Method: DFT, PBE-GGA
State: optimized geometry

Properties
D(E_F) in states/eV/atom: 1.8862
Symmetry: P4/mmm

Cell lengths 5.1483, 5.1483, 5.0148 Å; angles 90.00, 90.00, 90.00 degrees
With the nearest neighbours (Å) after each atom.
Atoms (fractional coordinates):
Sn (0.0000, 0.0000, 0.0000)  2 Cl 2.51, 4 P 2.57
P (0.0000, 0.5000, 0.0000)  2 Sn 2.57
P (0.5000, 0.0000, 0.0000)  2 Sn 2.57
Cl (0.0000, 0.0000, 0.5000)  2 Sn 2.51
O (0.5000, 0.5000, 0.5000)  8 P 3.59, 4 Cl 3.64

(Q)
Material: SnP2ClO
Method: DFT, PBE-GGA
State: optimized geometry

Properties
D(E_F) in states/eV/atom: 0.9540
Symmetry: P4/mmm

Cell lengths 5.2184, 5.2184, 3.9807 Å; angles 90.00, 90.00, 90.00 degrees
With the nearest neighbours (Å) after each atom.
Atoms (fractional coordinates):
Sn (0.0000, 0.0000, 0.0000)  2 O 1.99
P (0.0000, 0.5000, 0.0000)  2 Sn 2.61
P (0.5000, 0.0000, 0.0000)  2 Sn 2.61
Cl (0.5000, 0.5000, 0.5000)  8 P 3.28
O (0.0000, 0.0000, 0.5000)  2 Sn 1.99

(R)
Material: SnP2ClO
Method: DFT, PBE-GGA
State: optimized geometry

Properties
D(E_F) in states/eV/atom: 0.3359
Symmetry: P4/mmm

Cell lengths 3.9922, 3.9922, 5.9814 Å; angles 90.00, 90.00, 90.00 degrees
With the nearest neighbours (Å) after each atom.
Atoms (fractional coordinates):
Sn (0.0000, 0.0000, 0.0000)  4 Cl 2.82
P (0.0000, 0.5000, 0.5000)  2 O 2.00
P (0.5000, 0.0000, 0.5000)  2 O 2.00
Cl (0.5000, 0.5000, 0.0000)  4 Sn 2.82, 2 O 2.99
O (0.5000, 0.5000, 0.5000)  4 P 2.00

Which is most stable, and by how much? (R), by 442 meV per atom.